Compound: AcSi2Ni
Source: Alexandria
Functional: PBE
Structure: relaxed

a b c (Å): 4.370 17.009 4.189
angles (deg): 90.00 90.00 90.00
Space group Cmcm (No. 63)
Inequivalent atoms, fractional coordinates:
Ac 0.000 0.108 0.250
Si 0.000 0.250 0.750
Si 0.000 0.459 0.250
Ni 0.000 0.317 0.250

Summary:
Uncorrected formation energy, eV/atom: -0.689

***

Compound: Sr2Zn3In4Sn
Source: Alexandria
Functional: PBE
Structure: relaxed

a b c (Å): 4.692 4.692 11.841
angles (deg): 90.00 90.00 90.00
Space group P-4m2 (No. 115)
Inequivalent atoms, fractional coordinates:
Sr 0.000 0.500 0.244
Zn 0.000 0.500 0.868
Zn 0.500 0.500 0.500
In 0.000 0.000 0.000
In 0.000 0.500 0.645
In 0.500 0.500 0.000
Sn 0.000 0.000 0.500

***

Compound: Sn4Pb5
Source: Alexandria
Functional: PBE
Structure: relaxed

a b c (Å): 11.622 10.778 4.675
angles (deg): 90.00 112.74 90.00
Space group C2/m (No. 12)
Inequivalent atoms, fractional coordinates:
Sn 0.169 0.169 0.168
Pb 0.000 0.000 0.500
Pb 0.000 0.328 0.500
Pb 0.173 0.500 0.173

***

Compound: LiAlC
Source: Alexandria
Functional: PBE
Structure: relaxed

a b c (Å): 3.150 4.725 5.195
angles (deg): 90.00 90.00 90.00
Space group Pmm2 (No. 25)
Inequivalent atoms, fractional coordinates:
Li 0.000 0.000 0.000
Li 0.500 0.000 0.406
Al 0.000 0.500 0.358
Al 0.500 0.500 0.771
C 0.500 0.343 0.133

***

Compound: Ca14AcPm
Source: Alexandria
Functional: PBE
Structure: relaxed

a b c (Å): 11.013 11.022 11.013
angles (deg): 90.00 90.00 90.00
Space group Amm2 (No. 38)
Inequivalent atoms, fractional coordinates:
Ca 0.000 0.000 0.000
Ca 0.000 0.000 0.500
Ca 0.000 0.250 0.250
Ca 0.251 0.000 0.247
Ca 0.251 0.000 0.753
Ca 0.251 0.247 0.000
Ca 0.500 0.250 0.250
Ac 0.500 0.000 0.499
Pm 0.500 0.000 0.000

***

Compound: BiSbPS2
Source: Alexandria
Functional: PBE
Structure: relaxed

a b c (Å): 4.943 4.943 5.163
angles (deg): 90.00 90.00 90.00
Space group P4/mmm (No. 123)
Inequivalent atoms, fractional coordinates:
Bi 0.000 0.000 0.000
Sb 0.500 0.500 0.500
P 0.500 0.500 0.000
S 0.000 0.500 0.500

Summary:
Uncorrected formation energy, eV/atom: 0.516

***

Number 1: density of states at the Fermi level 0.488 states/eV per atom, total DFT energy (no corrections) -5.8727 eV per atom. Number 2: density of states at the Fermi level 0.399 states/eV per atom, total DFT energy (no corrections) -2.4951 eV per atom. Number 3: density of states at the Fermi level 0.554 states/eV per atom, total DFT energy (no corrections) -3.8011 eV per atom. Number 4: density of states at the Fermi level 0.148 states/eV per atom, total DFT energy (no corrections) -4.7159 eV per atom. Number 5: density of states at the Fermi level 1.583 states/eV per atom, total DFT energy (no corrections) -2.2542 eV per atom. Number 6: density of states at the Fermi level 0.746 states/eV per atom, total DFT energy (no corrections) -3.8173 eV per atom.